# GeF PBE relaxed
data_GeF
_chemical_formula_sum 'Ge6 F6'
_cell_length_a 6.4981
_cell_length_b 6.7490
_cell_length_c 5.1664
_cell_angle_alpha 90.00
_cell_angle_beta 90.00
_cell_angle_gamma 90.00
_symmetry_space_group_name_H-M 'P 1'
_symmetry_Int_Tables_number 1
loop_
_symmetry_equiv_pos_as_xyz
'x,y,z'
loop_
_atom_site_label
_atom_site_type_symbol
_atom_site_fract_x
_atom_site_fract_y
_atom_site_fract_z
_atom_site_occupancy
Ge1 Ge 0.0000 0.0151 0.0000 1
Ge2 Ge 0.1992 0.5040 0.6345 1
Ge3 Ge 0.3008 0.4960 0.1345 1
Ge4 Ge 0.5000 0.9849 0.5000 1
Ge5 Ge 0.6992 0.4960 0.1345 1
Ge6 Ge 0.8008 0.5040 0.6345 1
F1 F 0.0000 0.1635 0.6947 1
F2 F 0.2188 0.1900 0.1382 1
F3 F 0.2812 0.8100 0.6382 1
F4 F 0.5000 0.8365 0.1947 1
F5 F 0.7188 0.8100 0.6382 1
F6 F 0.7812 0.1900 0.1382 1
# - calculated total energy (eV per atom) = -4.604
# - energy above the lowest structure with this stoichiometry (meV per atom) = 84
# - formation energy without anion corrections (kJ per mole of atoms) = -131.2